(1)
{"formula": "La6Ni6P17", "functional": "PBE-GGA", "state": "relaxed", "cell": [[5.0861, 5.0861, 5.0861], [5.0861, -5.0861, -5.0861], [-5.0861, 5.0861, -5.0861]], "species": ["La", "La", "La", "La", "La", "La", "Ni", "Ni", "Ni", "Ni", "Ni", "Ni", "P", "P", "P", "P", "P", "P", "P", "P", "P", "P", "P", "P", "P", "P", "P", "P", "P"], "frac_coords": [[0.2898, 0.2898, 0.0000], [0.7102, 0.7102, 0.0000], [0.2898, 0.0000, 0.2898], [0.0000, 0.2898, 0.2898], [0.7102, 0.0000, 0.7102], [0.0000, 0.7102, 0.7102], [0.7500, 0.5000, 0.2500], [0.5000, 0.7500, 0.2500], [0.7500, 0.2500, 0.5000], [0.2500, 0.7500, 0.5000], [0.5000, 0.2500, 0.7500], [0.2500, 0.5000, 0.7500], [0.0000, 0.0000, 0.0000], [0.4277, 0.0000, 0.0000], [0.6343, 0.2322, 0.0000], [0.0000, 0.4277, 0.0000], [0.2322, 0.6343, 0.0000], [0.6343, 0.0000, 0.2322], [0.0000, 0.6343, 0.2322], [0.5978, 0.3657, 0.3657], [0.3657, 0.5978, 0.3657], [0.7678, 0.7678, 0.4022], [0.0000, 0.0000, 0.4277], [0.5723, 0.5723, 0.5723], [0.3657, 0.3657, 0.5978], [0.2322, 0.0000, 0.6343], [0.0000, 0.2322, 0.6343], [0.7678, 0.4022, 0.7678], [0.4022, 0.7678, 0.7678]], "rho_g_cm3": 5.4, "total_energy_ev_per_fu": -181.8, "magmom_total_mub_per_cell": 0.00}

***

(2)
{"formula": "La2NiP2Pd", "functional": "PBE-GGA", "state": "relaxed", "cell": [[4.1611, 0.0000, 0.0000], [-2.0805, 3.6036, 0.0000], [0.0000, 0.0000, 8.1043]], "species": ["La", "La", "Ni", "P", "P", "Pd"], "frac_coords": [[0.3333, 0.6667, 0.2557], [0.3333, 0.6667, 0.7443], [0.0000, 0.0000, 0.5000], [0.0000, 0.0000, 0.0000], [0.6667, 0.3333, 0.5000], [0.6667, 0.3333, 0.0000]], "rho_g_cm3": 6.9, "total_energy_ev_per_fu": -38.8, "magmom_total_mub_per_cell": 0.00}

***

(3)
{"formula": "LaPrNi2P2", "functional": "PBE-GGA", "state": "relaxed", "cell": [[-2.9032, 1.7586, 2.1255], [0.0328, -3.9811, -0.4344], [4.5086, -0.6978, 6.7355]], "species": ["La", "Ni", "Ni", "P", "P", "Pr"], "frac_coords": [[0.0000, 0.0000, 0.0000], [0.3333, 0.6667, 0.2506], [0.6667, 0.3333, 0.7494], [0.6667, 0.3333, 0.2531], [0.3333, 0.6667, 0.7469], [0.0000, 0.0000, 0.5000]], "rho_g_cm3": 6.7, "total_energy_ev_per_fu": -38.7, "magmom_total_mub_per_cell": 0.00}

***

(4)
{"formula": "La2NiP2Pt", "functional": "PBE-GGA", "state": "relaxed", "cell": [[-0.5062, -1.7923, 3.7050], [-0.2571, -2.2760, -3.4568], [8.0504, -1.4872, 0.3805]], "species": ["La", "La", "Ni", "P", "P", "Pt"], "frac_coords": [[0.6667, 0.3333, 0.2433], [0.6667, 0.3333, 0.7567], [0.0000, 0.0000, 0.0000], [0.3333, 0.6667, 0.0000], [0.0000, 0.0000, 0.5000], [0.3333, 0.6667, 0.5000]], "rho_g_cm3": 8.1, "total_energy_ev_per_fu": -40.0, "magmom_total_mub_per_cell": 0.00}

***

(5)
{"formula": "La2Ni2SbP", "functional": "PBE-GGA", "state": "relaxed", "cell": [[-1.8758, -3.0463, -2.2212], [2.2064, -0.9666, 3.4540], [-6.8910, 0.8584, 4.6421]], "species": ["La", "La", "Ni", "Ni", "P", "Sb"], "frac_coords": [[0.0000, 0.0000, 0.2318], [0.0000, 0.0000, 0.7682], [0.6667, 0.3333, 0.0000], [0.3333, 0.6667, 0.5000], [0.3333, 0.6667, 0.0000], [0.6667, 0.3333, 0.5000]], "rho_g_cm3": 7.1, "total_energy_ev_per_fu": -36.5, "magmom_total_mub_per_cell": 0.01}

***

(6)
{"formula": "LaNi2SnP", "functional": "PBE-GGA", "state": "relaxed", "cell": [[4.3132, 0.0000, 0.0000], [0.0000, 4.3132, 0.0000], [0.0000, 0.0000, 9.8081]], "species": ["La", "La", "Ni", "Ni", "Ni", "Ni", "P", "P", "Sn", "Sn"], "frac_coords": [[0.0000, 0.5000, 0.2736], [0.5000, 0.0000, 0.7264], [0.0000, 0.0000, 0.0000], [0.5000, 0.5000, 0.0000], [0.5000, 0.0000, 0.4114], [0.0000, 0.5000, 0.5886], [0.0000, 0.0000, 0.5000], [0.5000, 0.5000, 0.5000], [0.5000, 0.0000, 0.1390], [0.0000, 0.5000, 0.8610]], "rho_g_cm3": 7.4, "total_energy_ev_per_fu": -29.2, "magmom_total_mub_per_cell": 0.00}